1.
Below is a geometry-optimized Hf2CuB structure, with properties calculated at the GGA-PBE level.

Output
The calculation puts the density of states at the Fermi level at 0.53 states/eV/atom. Its space group is I-42d (122). The calculation puts the formation energy at 0.167 eV/atom. The value obtained for the size of the total moment is 0.000 μB/f.u.

a = 6.5773 Å, b = 6.5773 Å, c = 5.6101 Å
α = 54.11°, β = 54.11°, γ = 90.00°
Last column: nearest neighbours and their distance in Å.
Fractional positions:
1 B 0.2500 0.7500 0.5000  4 Hf 2.29
2 B 0.5000 0.5000 0.0000  4 Hf 2.29
3 Hf 0.3750 0.4146 0.7500  2 B 2.29
4 Hf 0.5854 0.1250 0.2500  2 B 2.29
5 Hf 0.1646 0.6250 0.2500  2 B 2.29
6 Hf 0.8750 0.8354 0.7500  2 B 2.29
7 Cu 0.0000 0.0000 0.0000  4 Hf 2.64
8 Cu 0.7500 0.2500 0.5000  4 Hf 2.64

2.
Below is a geometry-optimized VSiGe2Bi structure, with properties calculated at the GGA-PBE level.

Output
The calculation puts the density of states at the Fermi level at 0.67 states/eV/atom. Its space group is P4/mmm (123). The value obtained for the size of the total moment is 0.000 μB/f.u. The uncorrected formation energy comes out at 0.416 eV per atom.

a = 4.8414 Å, b = 4.7240 Å, c = 4.8414 Å
α = 90.00°, β = 90.00°, γ = 90.00°
Last column: nearest neighbours and their distance in Å.
Fractional positions:
1 Ge 0.5000 0.0000 0.0000  2 V 2.42
2 Ge 0.0000 0.0000 0.5000  2 V 2.42
3 Si 0.0000 0.5000 0.0000  2 V 2.36
4 Bi 0.5000 0.5000 0.5000  8 Ge 3.38, 4 Si 3.42
5 V 0.0000 0.0000 0.0000  2 Si 2.36, 4 Ge 2.42

3.
Below is a geometry-optimized NaPCl2 structure, with properties calculated at the GGA-PBE level.

Output
The calculation puts the density of states at the Fermi level at 0.01 states/eV/atom. Its space group is I-42d (122). The value obtained for the size of the total moment is 0.000 μB/f.u. As for the energy above the most stable polymorph in this dataset: 231 meV per atom. The uncorrected formation energy comes out at -0.338 eV per atom.

a = 5.1978 Å, b = 5.1978 Å, c = 8.6755 Å
α = 72.57°, β = 72.57°, γ = 90.00°
Last column: nearest neighbours and their distance in Å.
Fractional positions:
1 P 0.7500 0.2500 0.5000  4 Cl 2.57
2 P 0.0000 0.0000 0.0000  4 Cl 2.57
3 Cl 0.8750 0.9272 0.7500  2 P 2.57, 2 Na 2.83
4 Cl 0.6772 0.1250 0.2500  2 P 2.57, 2 Na 2.83
5 Cl 0.0728 0.6250 0.2500  2 P 2.57, 2 Na 2.83
6 Cl 0.3750 0.3228 0.7500  2 P 2.57, 2 Na 2.83
7 Na 0.2500 0.7500 0.5000  4 Cl 2.83
8 Na 0.5000 0.5000 0.0000  4 Cl 2.83

4.
Below is a geometry-optimized La2SmBr structure, with properties calculated at the GGA-PBE level.

Output
The calculation puts the density of states at the Fermi level at 1.04 states/eV/atom. Its space group is P4/mmm (123). The value obtained for the size of the total moment is 0.000 μB/f.u. As for the energy above the most stable polymorph in this dataset: 83 meV per atom. The uncorrected formation energy comes out at -0.504 eV per atom.

a = 3.6630 Å, b = 3.6630 Å, c = 9.8021 Å
α = 90.00°, β = 90.00°, γ = 90.00°
Last column: nearest neighbours and their distance in Å.
Fractional positions:
1 Sm 0.5000 0.5000 0.5000  4 Sm 3.66, 8 La 3.67
2 Br 0.5000 0.5000 0.0000  8 La 3.46, 4 Br 3.66
3 La 0.0000 0.0000 0.7654  4 Br 3.46, 4 La 3.66, 4 Sm 3.67
4 La 0.0000 0.0000 0.2346  4 Br 3.46, 4 La 3.66, 4 Sm 3.67

5.
Below is a geometry-optimized ErPa2Nb structure, with properties calculated at the GGA-PBE level.

Output
The calculation puts the density of states at the Fermi level at 2.05 states/eV/atom. Its space group is R-3m (166). The calculation puts the formation energy at 0.301 eV/atom. The value obtained for the size of the total moment is 0.000 μB/f.u. As for the energy above the most stable polymorph in this dataset: 47 meV per atom.

a = 3.3454 Å, b = 3.3454 Å, c = 10.3390 Å
α = 80.69°, β = 80.69°, γ = 60.00°
Last column: nearest neighbours and their distance in Å.
Fractional positions:
1 Pa 0.7425 0.7425 0.7726  3 Nb 3.01, 6 Pa 3.35
2 Pa 0.2575 0.2575 0.2274  3 Nb 3.01, 6 Pa 3.35
3 Nb 0.0000 0.0000 0.0000  6 Pa 3.01, 6 Nb 3.35
4 Er 0.5000 0.5000 0.5000  6 Er 3.35, 6 Pa 3.38

6.
Below is a geometry-optimized Li2PrTl2 structure, with properties calculated at the GGA-PBE level.

Output
The calculation puts the density of states at the Fermi level at 0.54 states/eV/atom. Its space group is P2_1/m (11). The calculation puts the formation energy at -0.255 eV/atom. The value obtained for the size of the total moment is 0.000 μB/f.u.

a = 5.0612 Å, b = 5.4397 Å, c = 9.2746 Å
α = 77.92°, β = 90.00°, γ = 90.00°
Last column: nearest neighbours and their distance in Å.
Fractional positions:
1 Li 0.7500 0.6272 0.9658  2 Li 2.89, 4 Tl 2.93-2.96
2 Li 0.2500 0.6748 0.6784  3 Tl 2.76-2.92
3 Li 0.7500 0.3252 0.3216  3 Tl 2.76-2.92
4 Li 0.2500 0.3728 0.0342  2 Li 2.89, 4 Tl 2.93-2.96
5 Tl 0.7500 0.0845 0.0877  5 Li 2.76-2.96
6 Tl 0.2500 0.2343 0.4818  3 Li 2.92-3.20, 2 Pr 3.24
7 Tl 0.2500 0.9155 0.9123  5 Li 2.76-2.96
8 Tl 0.7500 0.7657 0.5182  3 Li 2.92-3.20, 2 Pr 3.24
9 Pr 0.2500 0.8038 0.2874  7 Tl 3.24-3.40, 4 Li 3.47-3.60
10 Pr 0.7500 0.1962 0.7126  7 Tl 3.24-3.40, 4 Li 3.47-3.60